Entry P
This record from Alexandria via LeMat-Bulk describes a relaxed K2SbAs crystal. The functional is PBE.

Structure (CIF):
```
data_K2SbAs
_symmetry_space_group_name_H-M 'I -4 2 d'
_symmetry_Int_Tables_number 122
_symmetry_space_group_name_Hall 'I -4 2bw'
_cell_length_a 12.721
_cell_length_b 12.721
_cell_length_c 5.443
_cell_angle_alpha 90.00
_cell_angle_beta 90.00
_cell_angle_gamma 90.00
loop_
_atom_site_label
_atom_site_type_symbol
_atom_site_fract_x
_atom_site_fract_y
_atom_site_fract_z
K1 K 0.002 0.750 0.125
Sb1 Sb 0.000 0.000 0.500
As1 As 0.000 0.000 0.000
```

Size of the total moment = 0.00 μB/f.u.
DOS at the Fermi energy = 15.16 states/eV per cell

---

Entry Q
This record from Alexandria via LeMat-Bulk describes a relaxed K2SbAs crystal. The functional is PBE.

Structure (CIF):
```
data_K2SbAs
_symmetry_space_group_name_H-M 'I -4 m 2'
_symmetry_Int_Tables_number 119
_symmetry_space_group_name_Hall 'I -4 -2'
_cell_length_a 5.189
_cell_length_b 5.189
_cell_length_c 9.312
_cell_angle_alpha 90.00
_cell_angle_beta 90.00
_cell_angle_gamma 90.00
loop_
_atom_site_label
_atom_site_type_symbol
_atom_site_fract_x
_atom_site_fract_y
_atom_site_fract_z
K1 K 0.000 0.000 0.000
K2 K 0.000 0.500 0.250
Sb1 Sb 0.000 0.500 0.750
As1 As 0.000 0.000 0.500
```

Size of the total moment = 0.00 μB/f.u.
DOS at the Fermi energy = 4.27 states/eV per cell

---

Going by the energies, entry P is most stable and the next is 90 meV per atom up.

---

Entry P
This record from Alexandria via LeMat-Bulk describes a relaxed K2SbAs crystal. The functional is PBE.

Structure (CIF):
```
data_K2SbAs
_symmetry_space_group_name_H-M 'I m m 2'
_symmetry_Int_Tables_number 44
_symmetry_space_group_name_Hall 'I 2 -2'
_cell_length_a 4.036
_cell_length_b 5.712
_cell_length_c 11.928
_cell_angle_alpha 90.00
_cell_angle_beta 90.00
_cell_angle_gamma 90.00
loop_
_atom_site_label
_atom_site_type_symbol
_atom_site_fract_x
_atom_site_fract_y
_atom_site_fract_z
K1 K 0.000 0.000 0.000
K2 K 0.000 0.500 0.216
Sb1 Sb 0.000 0.500 0.803
As1 As 0.000 0.000 0.457
```

Size of the total moment = 0.00 μB/f.u.
DOS at the Fermi energy = 2.46 states/eV per cell

---

Entry Q
This record from Alexandria via LeMat-Bulk describes a relaxed K2SbAs crystal. The functional is PBE.

Structure (CIF):
```
data_K2SbAs
_symmetry_space_group_name_H-M 'P m m n'
_symmetry_Int_Tables_number 59
_cell_length_a 4.142
_cell_length_b 10.373
_cell_length_c 6.700
_cell_angle_alpha 90.00
_cell_angle_beta 90.00
_cell_angle_gamma 90.00
loop_
_symmetry_equiv_pos_as_xyz
'x,y,z'
'-x,-y,-z'
'-x+1/2,-y+1/2,z'
'x+1/2,y+1/2,-z'
'x+1/2,-y,-z'
'-x+1/2,y,z'
'-x,y+1/2,-z'
'x,-y+1/2,z'
loop_
_atom_site_label
_atom_site_type_symbol
_atom_site_fract_x
_atom_site_fract_y
_atom_site_fract_z
K1 K 0.250 0.047 0.238
Sb1 Sb 0.250 0.250 0.714
As1 As 0.250 0.750 0.021
```

Size of the total moment = 0.00 μB/f.u.
DOS at the Fermi energy = 2.34 states/eV per cell

---

Entry R
This record from Alexandria via LeMat-Bulk describes a relaxed K2SbAs crystal. The functional is PBE.

Structure (CIF):
```
data_K2SbAs
_symmetry_space_group_name_H-M 'P 1'
_symmetry_Int_Tables_number 1
_symmetry_space_group_name_Hall 'P 1'
_cell_length_a 5.255
_cell_length_b 5.711
_cell_length_c 6.029
_cell_angle_alpha 110.70
_cell_angle_beta 105.97
_cell_angle_gamma 103.55
loop_
_atom_site_label
_atom_site_type_symbol
_atom_site_fract_x
_atom_site_fract_y
_atom_site_fract_z
K1 K 0.000 0.000 0.000
K2 K 0.392 0.341 0.683
Sb1 Sb 0.500 0.744 0.335
As1 As 0.973 0.624 0.354
```

Size of the total moment = 0.00 μB/f.u.
DOS at the Fermi energy = 1.80 states/eV per cell

---

Entry S
This record from Alexandria via LeMat-Bulk describes a relaxed K2SbAs crystal. The functional is PBE.

Structure (CIF):
```
data_K2SbAs
_symmetry_space_group_name_H-M 'C m m m'
_symmetry_Int_Tables_number 65
_symmetry_space_group_name_Hall '-C 2 2'
_cell_length_a 6.356
_cell_length_b 10.668
_cell_length_c 3.407
_cell_angle_alpha 90.00
_cell_angle_beta 90.00
_cell_angle_gamma 90.00
loop_
_atom_site_label
_atom_site_type_symbol
_atom_site_fract_x
_atom_site_fract_y
_atom_site_fract_z
K1 K 0.250 0.250 0.000
Sb1 Sb 0.000 0.000 0.500
As1 As 0.000 0.500 0.500
```

Size of the total moment = 0.00 μB/f.u.
DOS at the Fermi energy = 2.02 states/eV per cell

---

Going by the energies, entry Q is most stable and the next is 23 meV per atom up.

---

Entry P
This record from Alexandria via LeMat-Bulk describes a relaxed K2SbAs crystal. The functional is PBE.

Structure (CIF):
```
data_K2SbAs
_symmetry_space_group_name_H-M 'P 4/m m m'
_symmetry_Int_Tables_number 123
_symmetry_space_group_name_Hall '-P 4 2'
_cell_length_a 4.633
_cell_length_b 4.633
_cell_length_c 5.348
_cell_angle_alpha 90.00
_cell_angle_beta 90.00
_cell_angle_gamma 90.00
loop_
_atom_site_label
_atom_site_type_symbol
_atom_site_fract_x
_atom_site_fract_y
_atom_site_fract_z
K1 K 0.000 0.500 0.000
Sb1 Sb 0.000 0.000 0.500
As1 As 0.500 0.500 0.500
```

Size of the total moment = 0.00 μB/f.u.
DOS at the Fermi energy = 2.25 states/eV per cell

---

Entry Q
This record from Alexandria via LeMat-Bulk describes a relaxed K2SbAs crystal. The functional is PBE.

Structure (CIF):
```
data_K2SbAs
_symmetry_space_group_name_H-M 'R -3 m'
_symmetry_Int_Tables_number 166
_symmetry_space_group_name_Hall '-R 3 2"'
_cell_length_a 3.5799
_cell_length_b 3.5799
_cell_length_c 33.6004
_cell_angle_alpha 90.00
_cell_angle_beta 90.00
_cell_angle_gamma 120.00
loop_
_atom_site_label
_atom_site_type_symbol
_atom_site_fract_x
_atom_site_fract_y
_atom_site_fract_z
K1 K 0.0000 0.0000 0.2450
Sb1 Sb 0.0000 0.0000 0.0000
As1 As 0.0000 0.0000 0.5000
```

Size of the total moment = 0.43 μB/f.u.
DOS at the Fermi energy = 10.35 states/eV per cell

---

Going by the energies, entry P is most stable and the next is 212 meV per atom up.

---

Entry P
This record from Alexandria via LeMat-Bulk describes a relaxed KSbAs crystal. The functional is PBE.

Structure (CIF):
```
data_KSbAs
_symmetry_space_group_name_H-M 'F -4 3 m'
_symmetry_Int_Tables_number 216
_symmetry_space_group_name_Hall 'F -4 2 3'
_cell_length_a 7.293
_cell_length_b 7.293
_cell_length_c 7.293
_cell_angle_alpha 90.00
_cell_angle_beta 90.00
_cell_angle_gamma 90.00
loop_
_atom_site_label
_atom_site_type_symbol
_atom_site_fract_x
_atom_site_fract_y
_atom_site_fract_z
K1 K 0.000 0.000 0.000
Sb1 Sb 0.250 0.250 0.750
As1 As 0.250 0.250 0.250
```

Size of the total moment = 0.00 μB/f.u.
DOS at the Fermi energy = 10.62 states/eV per cell

---

Entry Q
This record from Alexandria via LeMat-Bulk describes a relaxed KSbAs crystal. The functional is PBE.

Structure (CIF):
```
data_KSbAs
_symmetry_space_group_name_H-M 'F m m 2'
_symmetry_Int_Tables_number 42
_symmetry_space_group_name_Hall 'F 2 -2'
_cell_length_a 5.330
_cell_length_b 5.495
_cell_length_c 12.259
_cell_angle_alpha 90.00
_cell_angle_beta 90.00
_cell_angle_gamma 90.00
loop_
_atom_site_label
_atom_site_type_symbol
_atom_site_fract_x
_atom_site_fract_y
_atom_site_fract_z
K1 K 0.000 0.000 0.000
Sb1 Sb 0.000 0.000 0.714
As1 As 0.000 0.000 0.296
```

Size of the total moment = 0.00 μB/f.u.
DOS at the Fermi energy = 4.24 states/eV per cell

---

Going by the energies, entry Q is most stable and the next is 801 meV per atom up.